DFT (PBE-GGA) results for a relaxed CsLiFeCl4 crystal.

Properties
Energy relative to the elements, uncorrected   -1.38 eV per atom

Cell: 6.0760 7.2152 9.9198 Å, 90.00 109.74 90.00°
Fractional coordinates of all 14 atoms:
Cs  0.6356  0.7500  0.8696
Cs  0.3644  0.2500  0.1304
Li  0.8830  0.7500  0.4986
Li  0.1170  0.2500  0.5014
Fe  0.1763  0.7500  0.2980
Fe  0.8237  0.2500  0.7020
Cl  0.0639  0.4944  0.6879
Cl  0.9361  0.9944  0.3121
Cl  0.9361  0.5056  0.3121
Cl  0.0639  0.0056  0.6879
Cl  0.2504  0.7500  0.0876
Cl  0.7496  0.2500  0.9124
Cl  0.4951  0.7500  0.4995
Cl  0.5049  0.2500  0.5005